NdY4Ho4 | PBE | optimized geometry

calculated volume = 31.98 Å³/atom
ΔH_f (0 K) = 0.023 eV per atom
polymorph energy (0 for the lowest one) = 0 meV per atom
VASP energy = -97.45 eV per cell

CIF file:
```
data_NdY4Ho4
_symmetry_space_group_name_H-M 'I 4/m m m'
_symmetry_Int_Tables_number 139
_symmetry_space_group_name_Hall '-I 4 2'
_cell_length_a 10.7029
_cell_length_b 10.7029
_cell_length_c 5.0251
_cell_angle_alpha 90.00
_cell_angle_beta 90.00
_cell_angle_gamma 90.00
loop_
_atom_site_label
_atom_site_type_symbol
_atom_site_fract_x
_atom_site_fract_y
_atom_site_fract_z
Nd1 Nd 0.0000 0.0000 0.0000
Y1 Y 0.0000 0.3327 0.0000
Ho1 Ho 0.1671 0.1671 0.5000
```